Record 1
Compound: LiHoSb
Source: Alexandria
Functional: PBE
Structure: optimized geometry

Uncorrected formation energy = -0.64 eV/atom
Offset from the most stable computed form = 152.2 meV/atom

Geometry as POSCAR:
```
LiHoSb
1.0
7.247 -3.264 0.000
-4.496 6.554 0.000
0.000 0.000 4.357
Ho Li Sb
2 2 2
Direct
0.584 0.416 0.750
0.416 0.584 0.250
0.248 0.752 0.750
0.752 0.248 0.250
0.123 0.877 0.250
0.877 0.123 0.750
```

---

Record 2
Compound: Li3HoSb2
Source: Alexandria
Functional: PBE
Structure: optimized geometry

Uncorrected formation energy = -0.81 eV/atom
Offset from the most stable computed form = 0.0 meV/atom

Geometry as POSCAR:
```
Li3HoSb2
1.0
4.541 0.000 0.000
-2.270 3.933 0.000
0.000 0.000 7.139
Li Ho Sb
3 1 2
Direct
0.667 0.333 0.350
0.333 0.667 0.650
0.000 0.000 0.500
0.000 0.000 0.000
0.667 0.333 0.753
0.333 0.667 0.247
```

---

Record 3
Compound: LiHoSb
Source: Alexandria
Functional: PBE
Structure: optimized geometry

Uncorrected formation energy = -0.79 eV/atom
Offset from the most stable computed form = 0.0 meV/atom

Geometry as POSCAR:
```
LiHoSb
1.0
-1.319 3.123 -2.820
-0.866 -5.074 -5.215
-12.124 -1.844 3.629
Li Ho Sb
6 6 6
Direct
0.250 0.995 0.095
0.250 0.831 0.451
0.750 0.646 0.804
0.750 0.169 0.549
0.250 0.354 0.196
0.750 0.005 0.905
0.750 0.514 0.376
0.250 0.984 0.693
0.750 0.016 0.307
0.750 0.655 0.075
0.250 0.486 0.624
0.250 0.345 0.925
0.250 0.775 0.909
0.750 0.275 0.755
0.750 0.772 0.569
0.750 0.225 0.091
0.250 0.228 0.431
0.250 0.725 0.245
```

---

Record 4
Compound: LiHo8Sb6
Source: Alexandria
Functional: PBE
Structure: optimized geometry

Uncorrected formation energy = -0.77 eV/atom

Geometry as POSCAR:
```
LiHo8Sb6
1.0
-5.072 -5.281 -5.256
0.810 -8.963 0.497
-5.814 -4.901 2.807
Li Ho Sb
1 8 6
Direct
0.000 0.000 0.000
0.627 0.192 0.277
0.808 0.096 0.723
0.096 0.373 0.723
0.668 0.668 0.996
0.332 0.332 0.004
0.904 0.627 0.277
0.192 0.904 0.277
0.373 0.808 0.723
0.450 0.074 0.770
0.926 0.294 0.230
0.294 0.550 0.230
0.706 0.450 0.770
0.074 0.706 0.770
0.550 0.926 0.230
```

---

Record 5
Compound: Li3HoSb2
Source: Alexandria
Functional: PBE
Structure: optimized geometry

Uncorrected formation energy = -0.70 eV/atom
Offset from the most stable computed form = 107.6 meV/atom

Geometry as POSCAR:
```
Li3HoSb2
1.0
-1.727 -1.802 -3.485
8.803 -0.332 -1.555
-1.443 -9.129 5.436
Li Ho Sb
9 3 6
Direct
0.047 0.095 0.340
0.953 0.905 0.660
0.208 0.416 0.407
0.792 0.584 0.593
0.620 0.240 0.232
0.380 0.760 0.768
0.500 0.000 0.500
0.317 0.634 0.011
0.683 0.366 0.989
0.169 0.337 0.722
0.831 0.663 0.278
0.000 0.000 0.000
0.193 0.387 0.148
0.807 0.613 0.852
0.453 0.907 0.190
0.547 0.093 0.810
0.357 0.714 0.500
0.643 0.286 0.500
```

---

Record 6
Compound: LiHoScSb
Source: Alexandria
Functional: PBE
Structure: optimized geometry

Uncorrected formation energy = -0.41 eV/atom

Geometry as POSCAR:
```
LiHoScSb
1.0
5.032 0.000 0.000
2.516 4.358 0.000
2.516 1.453 4.109
Sc Sb Ho Li
1 1 1 1
Direct
0.250 0.250 0.250
0.500 0.500 0.500
0.750 0.750 0.750
0.000 0.000 0.000
```

---

Record 7
Compound: Li2HoSbSe4
Source: Alexandria
Functional: PBE
Structure: optimized geometry

Uncorrected formation energy = -1.16 eV/atom

Geometry as POSCAR:
```
Li2HoSbSe4
1.0
4.060 0.000 0.000
0.000 6.917 -0.085
0.000 2.491 6.621
Li Ho Sb Se
2 1 1 4
Direct
0.000 0.000 0.000
0.500 0.000 0.500
0.000 0.500 0.500
0.500 0.500 0.000
0.000 0.756 0.745
0.000 0.244 0.255
0.500 0.752 0.250
0.500 0.248 0.750
```

---

Record 8
Compound: Li2SmHo2Sb2
Source: Alexandria
Functional: PBE
Structure: optimized geometry

Uncorrected formation energy = -0.55 eV/atom

Geometry as POSCAR:
```
Li2SmHo2Sb2
1.0
-3.367 1.535 -2.973
0.562 -0.504 -4.687
-4.874 -7.566 -2.176
Li Sm Ho Sb
2 1 2 2
Direct
0.591 0.591 0.228
0.409 0.409 0.772
0.000 0.000 0.000
0.131 0.131 0.607
0.869 0.869 0.393
0.738 0.738 0.786
0.262 0.262 0.214
```

---

Record 9
Compound: Li2HoSbTe4
Source: Alexandria
Functional: PBE
Structure: optimized geometry

Uncorrected formation energy = -0.86 eV/atom

Geometry as POSCAR:
```
Li2HoSbTe4
1.0
-1.807 -2.016 3.392
3.488 -6.409 -1.951
4.345 3.905 4.636
Li Ho Sb Te
2 1 1 4
Direct
0.500 0.000 0.500
0.000 0.500 0.500
0.500 0.500 0.000
0.000 0.000 0.000
0.500 0.252 0.256
0.500 0.748 0.744
0.000 0.248 0.746
0.000 0.752 0.254
```

---

Record 10
Compound: LiYHoSb
Source: Alexandria
Functional: PBE
Structure: optimized geometry

Uncorrected formation energy = -0.44 eV/atom

Geometry as POSCAR:
```
LiYHoSb
1.0
-4.941 -1.520 -0.461
-1.817 -3.852 2.966
-3.395 1.023 3.790
Y Sb Ho Li
1 1 1 1
Direct
0.750 0.750 0.750
0.500 0.500 0.500
0.250 0.250 0.250
0.000 0.000 0.000
```

---

Record 11
Compound: Li2HoSc
Source: Alexandria
Functional: PBE
Structure: optimized geometry

Offset from the most stable computed form = 0.0 meV/atom
Energy of formation = 0.187 eV/atom

Geometry as POSCAR:
```
Li2HoSc
1.0
3.585 0.000 0.000
0.000 3.585 0.000
0.000 0.000 7.164
Sc Ho Li
1 1 2
Direct
0.500 0.500 0.500
0.500 0.500 0.000
0.000 0.000 0.735
0.000 0.000 0.265
```

---

Record 12
Compound: Li2HoSc
Source: Alexandria
Functional: PBE
Structure: optimized geometry

Offset from the most stable computed form = 2.9 meV/atom
Energy of formation = 0.190 eV/atom

Geometry as POSCAR:
```
Li2HoSc
1.0
5.071 0.000 0.000
2.536 4.392 0.000
2.536 1.464 4.141
Sc Ho Li
1 1 2
Direct
0.500 0.500 0.500
0.000 0.000 0.000
0.250 0.250 0.250
0.750 0.750 0.750
```

---

Record 13
Compound: LiHoSc
Source: Alexandria
Functional: PBE
Structure: optimized geometry

Offset from the most stable computed form = 149.1 meV/atom
Energy of formation = 0.269 eV/atom

Geometry as POSCAR:
```
LiHoSc
1.0
3.178 0.000 0.000
0.000 5.543 0.000
0.000 0.000 9.045
Sc Ho Li
2 2 2
Direct
0.500 0.000 0.762
0.000 0.500 0.238
0.000 0.000 0.436
0.500 0.500 0.564
0.500 0.500 0.931
0.000 0.000 0.069
```

---

Record 14
Compound: LiHoSc
Source: Alexandria
Functional: PBE
Structure: optimized geometry

Offset from the most stable computed form = 0.0 meV/atom
Energy of formation = 0.120 eV/atom

Geometry as POSCAR:
```
LiHoSc
1.0
-2.542 -2.191 1.018
1.475 -2.577 -1.865
3.816 0.799 5.209
Sc Ho Li
1 1 1
Direct
0.318 0.318 0.637
0.006 0.006 0.013
0.675 0.675 0.350
```

---

Record 15
Compound: Li2HoSc
Source: Alexandria
Functional: PBE
Structure: optimized geometry

Offset from the most stable computed form = 126.0 meV/atom
Energy of formation = 0.313 eV/atom

Geometry as POSCAR:
```
Li2HoSc
1.0
-0.180 -1.578 2.775
2.437 0.118 2.067
-3.934 8.832 6.609
Sc Ho Li
1 1 2
Direct
0.000 0.000 0.000
0.500 0.500 0.500
0.086 0.086 0.742
0.914 0.914 0.258
```

---

Record 16
Compound: LiHoSc
Source: Alexandria
Functional: PBE
Structure: optimized geometry

Offset from the most stable computed form = 20.6 meV/atom
Energy of formation = 0.140 eV/atom

Geometry as POSCAR:
```
LiHoSc
1.0
-2.393 0.849 -2.164
2.213 -2.364 -0.803
-4.840 -5.601 3.155
Sc Ho Li
1 1 1
Direct
0.667 0.333 0.330
0.333 0.667 0.662
0.000 0.000 0.008
```

---

Record 17
Compound: Li2Ho3ScSe6
Source: Alexandria
Functional: PBE
Structure: optimized geometry

Uncorrected formation energy = -1.69 eV/atom

Geometry as POSCAR:
```
Li2Ho3ScSe6
1.0
6.917 0.001 0.001
-3.456 5.992 0.001
-1.154 -1.998 6.445
Li Ho Sc Se
2 3 1 6
Direct
0.333 0.667 0.000
0.667 0.333 0.000
0.168 0.832 0.500
0.832 0.168 0.500
0.500 0.500 0.500
0.000 0.000 0.000
0.921 0.588 0.764
0.747 0.747 0.239
0.079 0.412 0.236
0.588 0.921 0.764
0.253 0.253 0.761
0.412 0.079 0.236
```

---

Record 18
Compound: LiHoScSe3
Source: Alexandria
Functional: PBE
Structure: optimized geometry

Uncorrected formation energy = -1.57 eV/atom

Geometry as POSCAR:
```
LiHoScSe3
1.0
3.871 0.000 0.000
0.000 8.020 0.006
0.000 -2.112 8.365
Li Ho Sc Se
2 2 2 6
Direct
0.250 0.091 0.589
0.750 0.909 0.411
0.250 0.192 0.231
0.750 0.808 0.769
0.250 0.662 0.158
0.750 0.338 0.842
0.750 0.904 0.125
0.250 0.096 0.875
0.250 0.764 0.500
0.750 0.236 0.500
0.750 0.432 0.170
0.250 0.568 0.830
```

---

Record 19
Compound: Li4Ho3ScSe8
Source: Alexandria
Functional: PBE
Structure: optimized geometry

Uncorrected formation energy = -1.67 eV/atom

Geometry as POSCAR:
```
Li4Ho3ScSe8
1.0
-0.391 -5.251 6.044
0.157 -6.015 -5.215
5.754 5.580 -0.097
Li Ho Sc Se
4 3 1 8
Direct
0.500 0.000 0.000
0.500 0.000 0.500
0.000 0.000 0.000
0.000 0.000 0.500
0.500 0.500 0.000
0.500 0.500 0.500
0.000 0.500 0.500
0.000 0.500 0.000
0.245 0.748 0.004
0.245 0.748 0.489
0.249 0.246 0.497
0.759 0.748 0.004
0.241 0.252 0.996
0.751 0.754 0.503
0.755 0.252 0.511
0.755 0.252 0.996
```

---

Record 20
Compound: LiHo3Sc3Se8
Source: Alexandria
Functional: PBE
Structure: optimized geometry

Uncorrected formation energy = -1.70 eV/atom

Geometry as POSCAR:
```
LiHo3Sc3Se8
1.0
7.871 0.000 0.000
-3.935 6.816 -0.024
0.000 -4.522 6.468
Li Ho Sc Se
1 3 3 8
Direct
0.000 0.000 0.500
0.000 0.000 0.000
0.000 0.500 0.000
0.500 0.500 0.000
0.500 0.000 0.500
0.500 0.500 0.500
0.000 0.500 0.500
0.254 0.509 0.263
0.746 0.491 0.737
0.751 0.502 0.260
0.249 0.498 0.740
0.751 0.009 0.260
0.249 0.991 0.740
0.258 0.009 0.260
0.742 0.991 0.740
```

---

no.,spin magnetization (μB/f.u.)
1,0.000
2,0.000
3,0.000
4,0.000
5,0.000
6,0.000
7,0.000
8,0.002
9,0.000
10,0.000
11,0.001
12,0.002
13,0.416
14,0.002
15,0.021
16,0.002
17,0.000
18,0.002
19,0.000
20,0.000